(1)
VASP calculation (GGA-PBE) on a relaxed La2ZrTiSe crystal.

Cell lengths 5.6866, 5.6866, 4.7109 Å; angles 90.00, 90.00, 90.00 degrees
Space group P4/mmm (No. 123)
Symmetry-distinct sites (fractional):
La 0.0000 0.5000 0.0000
Zr 0.0000 0.0000 0.5000
Ti 0.5000 0.5000 0.5000
Se 0.5000 0.5000 0.0000

Summary:
Relative energy among the computed polymorphs = 0.00 kcal/mol of atoms
V = 30.468 Å³/atom

***

(2)
VASP calculation (GGA-PBE) on a relaxed LaTlSe2 crystal.

Cell lengths 4.4382, 4.4338, 6.1631 Å; angles 90.00, 90.39, 90.00 degrees
Space group P2/m (No. 10)
Symmetry-distinct sites (fractional):
La 0.0000 0.0000 0.0000
Tl 0.5000 0.5000 0.5000
Se 0.0000 0.0000 0.5000
Se 0.5000 0.5000 0.0000

Summary:
Energy = -4.8541 eV/atom
V = 30.319 Å³/atom

***

(3)
VASP calculation (GGA-PBE) on a relaxed LaTl2Se crystal.

Cell lengths 4.3685, 4.3685, 12.0771 Å; angles 90.00, 90.00, 90.00 degrees
Space group I4/mmm (No. 139)
Symmetry-distinct sites (fractional):
La 0.0000 0.0000 0.0000
Tl 0.0000 0.5000 0.2500
Se 0.0000 0.0000 0.5000

Summary:
Energy = -4.0215 eV/atom
V = 28.810 Å³/atom

***

(4)
VASP calculation (GGA-PBE) on a relaxed LaTl3Se3 crystal.

Cell lengths 16.1005, 8.5014, 9.0943 Å; angles 90.00, 124.37, 90.00 degrees
Space group C2/m (No. 12)
Symmetry-distinct sites (fractional):
La 0.2123 0.0000 0.4622
Tl 0.0000 0.2561 0.0000
Tl 0.0000 0.2568 0.5000
Tl 0.2494 0.5000 0.0001
Se 0.0067 0.0000 0.7564
Se 0.2499 0.2501 0.2804

Summary:
Energy = -4.1369 eV/atom
V = 36.694 Å³/atom

***

(5)
VASP calculation (GGA-PBE) on a relaxed LaTlSe crystal.

Cell lengths 7.2029, 7.2029, 7.2029 Å; angles 90.00, 90.00, 90.00 degrees
Space group F-43m (No. 216)
Symmetry-distinct sites (fractional):
La 0.0000 0.0000 0.0000
Tl 0.0000 0.0000 0.5000
Se 0.2500 0.2500 0.7500

Summary:
Relative energy among the computed polymorphs = 6.78 kcal/mol of atoms
V = 31.142 Å³/atom

***

(6)
VASP calculation (GGA-PBE) on a relaxed LaTlSe2 crystal.

Cell lengths 4.5483, 4.5483, 23.6853 Å; angles 90.00, 90.00, 120.00 degrees
Space group R3m (No. 160, hexagonal axes)
Symmetry-distinct sites (fractional):
La 0.0000 0.0000 0.0000
Tl 0.0000 0.0000 0.2438
Se 0.0000 0.0000 0.5289
Se 0.0000 0.0000 0.7184

Summary:
Energy = -4.5141 eV/atom
V = 35.361 Å³/atom

***

(7)
VASP calculation (GGA-PBE) on a relaxed La6TlSe5 crystal.

Cell lengths 7.5906, 13.1215, 7.5737 Å; angles 90.00, 109.41, 90.00 degrees
Space group C2/m (No. 12)
Symmetry-distinct sites (fractional):
La 0.2426 0.0000 0.2534
La 0.2442 0.1709 0.7445
Tl 0.0000 0.5000 0.0000
Se 0.0000 0.0000 0.5000
Se 0.0000 0.1672 0.0000
Se 0.0000 0.3366 0.5000

Summary:
Energy = -5.8259 eV/atom
V = 29.644 Å³/atom

***

(8)
VASP calculation (GGA-PBE) on a relaxed La7TlSe5 crystal.

Cell lengths 4.3276, 14.2270, 25.8791 Å; angles 90.00, 90.00, 90.00 degrees
Space group Cmcm (No. 63)
Symmetry-distinct sites (fractional):
La 0.0000 0.0252 0.2500
La 0.0000 0.1365 0.5356
La 0.0000 0.3192 0.1747
La 0.0000 0.4083 0.6086
Tl 0.0000 0.3017 0.7500
Se 0.0000 0.0456 0.6409
Se 0.0000 0.2266 0.0707
Se 0.0000 0.5000 0.0000

Summary:
Energy = -5.7691 eV/atom
V = 30.641 Å³/atom

***

(9)
VASP calculation (GGA-PBE) on a relaxed La3TlSe4 crystal.

Cell lengths 6.1650, 6.1650, 6.1650 Å; angles 90.00, 90.00, 90.00 degrees
Space group Pm-3m (No. 221)
Symmetry-distinct sites (fractional):
La 0.0000 0.0000 0.5000
Tl 0.5000 0.5000 0.5000
Se 0.0000 0.0000 0.0000
Se 0.0000 0.5000 0.5000

Summary:
Energy = -5.5659 eV/atom
V = 29.289 Å³/atom

***

(10)
VASP calculation (GGA-PBE) on a relaxed LaTlSe2 crystal.

Cell lengths 3.8020, 3.8020, 7.8162 Å; angles 90.00, 90.00, 90.00 degrees
Space group P4/mmm (No. 123)
Symmetry-distinct sites (fractional):
La 0.0000 0.0000 0.0000
Tl 0.0000 0.0000 0.5000
Se 0.5000 0.5000 0.2163

Summary:
Energy = -4.8459 eV/atom
V = 28.247 Å³/atom

***

(11)
VASP calculation (GGA-PBE) on a relaxed LaTl2Se crystal.

Cell lengths 4.1720, 4.2095, 7.2167 Å; angles 90.00, 90.29, 90.00 degrees
Space group Pm (No. 6)
Symmetry-distinct sites (fractional):
La 0.0000 0.0000 0.0000
Tl 0.0098 0.0000 0.5197
Tl 0.5071 0.5000 0.3347
Se 0.4993 0.5000 0.9145

Summary:
Energy = -4.0797 eV/atom
V = 31.685 Å³/atom

***

(12)
VASP calculation (GGA-PBE) on a relaxed La2TlSe crystal.

Cell lengths 4.4861, 4.4861, 6.3842 Å; angles 90.00, 90.00, 90.00 degrees
Space group P4/mmm (No. 123)
Symmetry-distinct sites (fractional):
La 0.0000 0.0000 0.0000
La 0.5000 0.5000 0.5000
Tl 0.0000 0.0000 0.5000
Se 0.5000 0.5000 0.0000

Summary:
Relative energy among the computed polymorphs = 1.13 kcal/mol of atoms
V = 32.121 Å³/atom

***

Which value of V does entry 12 give? 32.121 Å³/atom